Entry 1:
TiTePt3 | GGA-PBE | relaxed

POSCAR file:
```
TiTePt3
1.0
-2.258 0.417 4.157
-4.084 -1.216 -2.097
0.880 -4.572 0.937
Pt Te Ti
3 1 1
Direct
0.000 0.000 0.500
0.500 0.000 0.000
0.000 0.500 0.000
0.500 0.500 0.500
0.000 0.000 0.000
```

Summary:
DFT total energy: -5.322 eV/atom
relative energy among the computed polymorphs: 0 meV per atom
symmetry: Pm-3m (221)

***

Entry 2:
TiTe3Pt | GGA-PBE | relaxed

POSCAR file:
```
TiTe3Pt
1.0
5.194 0.000 0.000
0.000 5.194 0.000
0.000 0.000 5.194
Te Pt Ti
3 1 1
Direct
0.500 0.000 0.000
0.000 0.500 0.000
0.000 0.000 0.500
0.500 0.500 0.500
0.000 0.000 0.000
```

Summary:
DFT total energy: -4.195 eV/atom
relative energy among the computed polymorphs: 0 meV per atom
symmetry: Pm-3m (221)

***

Entry 3:
TiTlTePt2 | GGA-PBE | relaxed

POSCAR file:
```
TiTlTePt2
1.0
4.886 0.000 0.000
0.000 5.286 0.000
0.000 0.000 4.886
Ti Tl Pt Te
1 1 2 1
Direct
0.000 0.000 0.000
0.500 0.500 0.500
0.000 0.000 0.500
0.500 0.000 0.000
0.000 0.500 0.000
```

Summary:
DFT total energy: -4.901 eV/atom
symmetry: P4/mmm (123)

***

Entry 4:
TiZn2TePt | GGA-PBE | relaxed

POSCAR file:
```
TiZn2TePt
1.0
-4.102 -0.324 2.502
-2.293 -1.666 -3.976
1.117 -4.516 1.248
Ti Zn Pt Te
1 2 1 1
Direct
0.000 0.500 0.000
0.500 0.000 0.000
0.000 0.000 0.500
0.000 0.000 0.000
0.500 0.500 0.500
```

Summary:
DFT total energy: -3.950 eV/atom
symmetry: P4/mmm (123)

***

no.,DOS(E_F) (states/eV per cell)
1,5.716
2,4.885
3,2.792
4,4.016